*i*
The following is a DFT calculation (PBE-GGA) of an optimized crystal structure of BeCoAgMo.

Space group: No. 216

Structure (extended XYZ):
```
16
Lattice="5.8908 0.0000 0.0000 0.0000 5.8908 0.0000 0.0000 0.0000 5.8908" Properties=species:S:1:pos:R:3 pbc="T T T"
Be 0.0000 0.0000 0.0000
Be 0.0000 2.9454 2.9454
Be 2.9454 0.0000 2.9454
Be 2.9454 2.9454 0.0000
Co 0.0000 0.0000 2.9454
Co 0.0000 2.9454 0.0000
Co 2.9454 0.0000 0.0000
Co 2.9454 2.9454 2.9454
Ag 1.4727 1.4727 1.4727
Ag 1.4727 4.4181 4.4181
Ag 4.4181 1.4727 4.4181
Ag 4.4181 4.4181 1.4727
Mo 1.4727 1.4727 4.4181
Mo 1.4727 4.4181 1.4727
Mo 4.4181 1.4727 1.4727
Mo 4.4181 4.4181 4.4181
```

*ii*
The following is a DFT calculation (PBE-GGA) of an optimized crystal structure of BeCoAgMo.

Space group: No. 216

Structure (extended XYZ):
```
16
Lattice="5.9849 0.0000 0.0000 0.0000 5.9849 0.0000 0.0000 0.0000 5.9849" Properties=species:S:1:pos:R:3 pbc="T T T"
Be 0.0000 0.0000 0.0000
Be 0.0000 2.9925 2.9925
Be 2.9925 0.0000 2.9925
Be 2.9925 2.9925 0.0000
Co 1.4962 1.4962 1.4962
Co 1.4962 4.4887 4.4887
Co 4.4887 1.4962 4.4887
Co 4.4887 4.4887 1.4962
Ag 1.4962 1.4962 4.4887
Ag 1.4962 4.4887 1.4962
Ag 4.4887 1.4962 1.4962
Ag 4.4887 4.4887 4.4887
Mo 0.0000 0.0000 2.9925
Mo 0.0000 2.9925 0.0000
Mo 2.9925 0.0000 0.0000
Mo 2.9925 2.9925 2.9925
```

Stability, lowest: *ii*

*i*
The following is a DFT calculation (PBE-GGA) of an optimized crystal structure of BeCoSiAg.

Space group: No. 216

Structure (extended XYZ):
```
16
Lattice="5.7661 0.0000 0.0000 0.0000 5.7661 0.0000 0.0000 0.0000 5.7661" Properties=species:S:1:pos:R:3 pbc="T T T"
Be 0.0000 0.0000 0.0000
Be 0.0000 2.8831 2.8831
Be 2.8831 0.0000 2.8831
Be 2.8831 2.8831 0.0000
Co 1.4415 1.4415 4.3246
Co 1.4415 4.3246 1.4415
Co 4.3246 1.4415 1.4415
Co 4.3246 4.3246 4.3246
Si 0.0000 0.0000 2.8831
Si 0.0000 2.8831 0.0000
Si 2.8831 0.0000 0.0000
Si 2.8831 2.8831 2.8831
Ag 1.4415 1.4415 1.4415
Ag 1.4415 4.3246 4.3246
Ag 4.3246 1.4415 4.3246
Ag 4.3246 4.3246 1.4415
```

*ii*
The following is a DFT calculation (PBE-GGA) of an optimized crystal structure of BeCoSiAg.

Space group: No. 216

Structure (extended XYZ):
```
16
Lattice="5.8056 0.0000 0.0000 0.0000 5.8056 0.0000 0.0000 0.0000 5.8056" Properties=species:S:1:pos:R:3 pbc="T T T"
Be 0.0000 0.0000 0.0000
Be 0.0000 2.9028 2.9028
Be 2.9028 0.0000 2.9028
Be 2.9028 2.9028 0.0000
Co 0.0000 0.0000 2.9028
Co 0.0000 2.9028 0.0000
Co 2.9028 0.0000 0.0000
Co 2.9028 2.9028 2.9028
Si 1.4514 1.4514 1.4514
Si 1.4514 4.3542 4.3542
Si 4.3542 1.4514 4.3542
Si 4.3542 4.3542 1.4514
Ag 1.4514 1.4514 4.3542
Ag 1.4514 4.3542 1.4514
Ag 4.3542 1.4514 1.4514
Ag 4.3542 4.3542 4.3542
```

Stability, lowest: *ii*

*i*
The following is a DFT calculation (PBE-GGA) of an optimized crystal structure of BeCuAgGe.

Space group: No. 216

Structure (extended XYZ):
```
16
Lattice="6.1143 0.0000 0.0000 0.0000 6.1143 0.0000 0.0000 0.0000 6.1143" Properties=species:S:1:pos:R:3 pbc="T T T"
Be 0.0000 0.0000 0.0000
Be 0.0000 3.0571 3.0571
Be 3.0571 0.0000 3.0571
Be 3.0571 3.0571 0.0000
Cu 0.0000 0.0000 3.0571
Cu 0.0000 3.0571 0.0000
Cu 3.0571 0.0000 0.0000
Cu 3.0571 3.0571 3.0571
Ag 1.5286 1.5286 4.5857
Ag 1.5286 4.5857 1.5286
Ag 4.5857 1.5286 1.5286
Ag 4.5857 4.5857 4.5857
Ge 1.5286 1.5286 1.5286
Ge 1.5286 4.5857 4.5857
Ge 4.5857 1.5286 4.5857
Ge 4.5857 4.5857 1.5286
```

*ii*
The following is a DFT calculation (PBE-GGA) of an optimized crystal structure of BeCuAgGe.

Space group: No. 216

Structure (extended XYZ):
```
16
Lattice="6.1192 0.0000 0.0000 0.0000 6.1192 0.0000 0.0000 0.0000 6.1192" Properties=species:S:1:pos:R:3 pbc="T T T"
Be 0.0000 0.0000 0.0000
Be 0.0000 3.0596 3.0596
Be 3.0596 0.0000 3.0596
Be 3.0596 3.0596 0.0000
Cu 1.5298 1.5298 4.5894
Cu 1.5298 4.5894 1.5298
Cu 4.5894 1.5298 1.5298
Cu 4.5894 4.5894 4.5894
Ag 1.5298 1.5298 1.5298
Ag 1.5298 4.5894 4.5894
Ag 4.5894 1.5298 4.5894
Ag 4.5894 4.5894 1.5298
Ge 0.0000 0.0000 3.0596
Ge 0.0000 3.0596 0.0000
Ge 3.0596 0.0000 0.0000
Ge 3.0596 3.0596 3.0596
```

Stability, lowest: *ii*

*i*
The following is a DFT calculation (PBE-GGA) of an optimized crystal structure of BeCuAgSn.

Space group: No. 216

Structure (extended XYZ):
```
16
Lattice="6.3805 0.0000 0.0000 0.0000 6.3805 0.0000 0.0000 0.0000 6.3805" Properties=species:S:1:pos:R:3 pbc="T T T"
Be 0.0000 0.0000 0.0000
Be 0.0000 3.1903 3.1903
Be 3.1903 0.0000 3.1903
Be 3.1903 3.1903 0.0000
Cu 1.5951 1.5951 4.7854
Cu 1.5951 4.7854 1.5951
Cu 4.7854 1.5951 1.5951
Cu 4.7854 4.7854 4.7854
Ag 1.5951 1.5951 1.5951
Ag 1.5951 4.7854 4.7854
Ag 4.7854 1.5951 4.7854
Ag 4.7854 4.7854 1.5951
Sn 0.0000 0.0000 3.1903
Sn 0.0000 3.1903 0.0000
Sn 3.1903 0.0000 0.0000
Sn 3.1903 3.1903 3.1903
```

*ii*
The following is a DFT calculation (PBE-GGA) of an optimized crystal structure of BeCuAgSn.

Space group: No. 216

Structure (extended XYZ):
```
16
Lattice="6.3200 0.0000 0.0000 0.0000 6.3200 0.0000 0.0000 0.0000 6.3200" Properties=species:S:1:pos:R:3 pbc="T T T"
Be 0.0000 0.0000 0.0000
Be 0.0000 3.1600 3.1600
Be 3.1600 0.0000 3.1600
Be 3.1600 3.1600 0.0000
Cu 0.0000 0.0000 3.1600
Cu 0.0000 3.1600 0.0000
Cu 3.1600 0.0000 0.0000
Cu 3.1600 3.1600 3.1600
Ag 1.5800 1.5800 4.7400
Ag 1.5800 4.7400 1.5800
Ag 4.7400 1.5800 1.5800
Ag 4.7400 4.7400 4.7400
Sn 1.5800 1.5800 1.5800
Sn 1.5800 4.7400 4.7400
Sn 4.7400 1.5800 4.7400
Sn 4.7400 4.7400 1.5800
```

Stability, lowest: *i*

*i*
The following is a DFT calculation (PBE-GGA) of an optimized crystal structure of BeTlCuAg.

Space group: No. 216

Structure (extended XYZ):
```
16
Lattice="6.3056 0.0000 0.0000 0.0000 6.3056 0.0000 0.0000 0.0000 6.3056" Properties=species:S:1:pos:R:3 pbc="T T T"
Be 0.0000 0.0000 0.0000
Be 0.0000 3.1528 3.1528
Be 3.1528 0.0000 3.1528
Be 3.1528 3.1528 0.0000
Tl 1.5764 1.5764 1.5764
Tl 1.5764 4.7292 4.7292
Tl 4.7292 1.5764 4.7292
Tl 4.7292 4.7292 1.5764
Cu 0.0000 0.0000 3.1528
Cu 0.0000 3.1528 0.0000
Cu 3.1528 0.0000 0.0000
Cu 3.1528 3.1528 3.1528
Ag 1.5764 1.5764 4.7292
Ag 1.5764 4.7292 1.5764
Ag 4.7292 1.5764 1.5764
Ag 4.7292 4.7292 4.7292
```

*ii*
The following is a DFT calculation (PBE-GGA) of an optimized crystal structure of BeTlCuAg.

Space group: No. 216

Structure (extended XYZ):
```
16
Lattice="6.3924 0.0000 0.0000 0.0000 6.3924 0.0000 0.0000 0.0000 6.3924" Properties=species:S:1:pos:R:3 pbc="T T T"
Be 0.0000 0.0000 0.0000
Be 0.0000 3.1962 3.1962
Be 3.1962 0.0000 3.1962
Be 3.1962 3.1962 0.0000
Tl 0.0000 0.0000 3.1962
Tl 0.0000 3.1962 0.0000
Tl 3.1962 0.0000 0.0000
Tl 3.1962 3.1962 3.1962
Cu 1.5981 1.5981 4.7943
Cu 1.5981 4.7943 1.5981
Cu 4.7943 1.5981 1.5981
Cu 4.7943 4.7943 4.7943
Ag 1.5981 1.5981 1.5981
Ag 1.5981 4.7943 4.7943
Ag 4.7943 1.5981 4.7943
Ag 4.7943 4.7943 1.5981
```

Stability, lowest: *ii*

*i*
The following is a DFT calculation (PBE-GGA) of an optimized crystal structure of BeGaAg.

Space group: No. 216

Structure (extended XYZ):
```
12
Lattice="5.8619 0.0000 0.0000 0.0000 5.8619 0.0000 0.0000 0.0000 5.8619" Properties=species:S:1:pos:R:3 pbc="T T T"
Be 0.0000 0.0000 0.0000
Be 0.0000 2.9309 2.9309
Be 2.9309 0.0000 2.9309
Be 2.9309 2.9309 0.0000
Ga 0.0000 0.0000 2.9309
Ga 0.0000 2.9309 0.0000
Ga 2.9309 0.0000 0.0000
Ga 2.9309 2.9309 2.9309
Ag 1.4655 1.4655 1.4655
Ag 1.4655 4.3964 4.3964
Ag 4.3964 1.4655 4.3964
Ag 4.3964 4.3964 1.4655
```

*ii*
The following is a DFT calculation (PBE-GGA) of an optimized crystal structure of BeGaAg.

Space group: No. 216

Structure (extended XYZ):
```
12
Lattice="5.8646 0.0000 0.0000 0.0000 5.8646 0.0000 0.0000 0.0000 5.8646" Properties=species:S:1:pos:R:3 pbc="T T T"
Be 0.0000 0.0000 0.0000
Be 0.0000 2.9323 2.9323
Be 2.9323 0.0000 2.9323
Be 2.9323 2.9323 0.0000
Ga 1.4662 1.4662 4.3985
Ga 1.4662 4.3985 1.4662
Ga 4.3985 1.4662 1.4662
Ga 4.3985 4.3985 4.3985
Ag 0.0000 0.0000 2.9323
Ag 0.0000 2.9323 0.0000
Ag 2.9323 0.0000 0.0000
Ag 2.9323 2.9323 2.9323
```

Stability, lowest: *ii*